Density functional theory data (GGA-PBE) for a geometry-optimized MgVH structure.

Geometry as CIF:
```
data_MgVH
_cell_length_a 3.187
_cell_length_b 4.881
_cell_length_c 5.421
_cell_angle_alpha 63.24
_cell_angle_beta 72.91
_cell_angle_gamma 90.00
_space_group_name_H-M_alt 'P 1'
_space_group_IT_number 1
loop_
_space_group_symop_operation_xyz
'x,y,z'
loop_
_atom_site_label
_atom_site_type_symbol
_atom_site_fract_x
_atom_site_fract_y
_atom_site_fract_z
H1 H 0.000 0.000 0.000
H2 H 0.000 0.500 0.000
Mg1 Mg 0.617 0.867 0.766
Mg2 Mg 0.383 0.133 0.234
V1 V 0.152 0.402 0.696
V2 V 0.848 0.598 0.304
```

Computed properties:
The value obtained for the polymorph energy (0 for the lowest one) is 90 meV/atom. As for the calculated volume: 11.8 Å³ per atom. The calculation puts the density of states at the Fermi level at 3.0 states/eV per cell.

Density functional theory data (GGA-PBE) for a geometry-optimized MgVH structure.

Geometry as CIF:
```
data_MgVH
_cell_length_a 3.407
_cell_length_b 9.030
_cell_length_c 5.395
_cell_angle_alpha 33.18
_cell_angle_beta 71.59
_cell_angle_gamma 90.00
_space_group_name_H-M_alt 'P 1'
_space_group_IT_number 1
loop_
_space_group_symop_operation_xyz
'x,y,z'
loop_
_atom_site_label
_atom_site_type_symbol
_atom_site_fract_x
_atom_site_fract_y
_atom_site_fract_z
H1 H 0.904 0.243 0.693
H2 H 0.404 0.064 0.693
Mg1 Mg 0.315 0.702 0.869
Mg2 Mg 0.815 0.429 0.869
V1 V 0.793 0.945 0.913
V2 V 0.293 0.142 0.913
```

Computed properties:
The value obtained for the polymorph energy (0 for the lowest one) is 81 meV/atom. As for the calculated volume: 12.4 Å³ per atom. The calculation puts the density of states at the Fermi level at 2.8 states/eV per cell.

Density functional theory data (GGA-PBE) for a geometry-optimized MgVH structure.

Geometry as CIF:
```
data_MgVH
_cell_length_a 5.580
_cell_length_b 4.613
_cell_length_c 2.826
_cell_angle_alpha 90.00
_cell_angle_beta 98.98
_cell_angle_gamma 90.00
_space_group_name_H-M_alt 'P 1'
_space_group_IT_number 1
loop_
_space_group_symop_operation_xyz
'x,y,z'
loop_
_atom_site_label
_atom_site_type_symbol
_atom_site_fract_x
_atom_site_fract_y
_atom_site_fract_z
H1 H 0.384 0.582 0.109
H2 H 0.616 0.082 0.891
Mg1 Mg 0.878 0.374 0.150
Mg2 Mg 0.122 0.874 0.850
V1 V 0.403 0.343 0.606
V2 V 0.597 0.843 0.394
```

Computed properties:
The value obtained for the polymorph energy (0 for the lowest one) is 65 meV/atom. As for the calculated volume: 12.0 Å³ per atom. The calculation puts the density of states at the Fermi level at 2.3 states/eV per cell.

Density functional theory data (GGA-PBE) for a geometry-optimized MgVH structure.

Geometry as CIF:
```
data_MgVH
_cell_length_a 4.553
_cell_length_b 2.888
_cell_length_c 11.639
_cell_angle_alpha 90.00
_cell_angle_beta 90.00
_cell_angle_gamma 90.00
_space_group_name_H-M_alt 'P 1'
_space_group_IT_number 1
loop_
_space_group_symop_operation_xyz
'x,y,z'
loop_
_atom_site_label
_atom_site_type_symbol
_atom_site_fract_x
_atom_site_fract_y
_atom_site_fract_z
H1 H 0.030 0.250 0.930
H2 H 0.470 0.750 0.430
H3 H 0.970 0.750 0.070
H4 H 0.530 0.250 0.570
Mg1 Mg 0.740 0.250 0.320
Mg2 Mg 0.760 0.750 0.820
Mg3 Mg 0.260 0.750 0.680
Mg4 Mg 0.240 0.250 0.180
V1 V 0.221 0.250 0.468
V2 V 0.279 0.750 0.968
V3 V 0.779 0.750 0.532
V4 V 0.721 0.250 0.032
```

Computed properties:
The value obtained for the polymorph energy (0 for the lowest one) is 201 meV/atom. As for the calculated volume: 12.8 Å³ per atom. The calculation puts the density of states at the Fermi level at 6.8 states/eV per cell.

Density functional theory data (GGA-PBE) for a geometry-optimized MgVH structure.

Geometry as CIF:
```
data_MgVH
_cell_length_a 2.835
_cell_length_b 4.504
_cell_length_c 5.677
_cell_angle_alpha 91.56
_cell_angle_beta 80.26
_cell_angle_gamma 91.31
_space_group_name_H-M_alt 'P 1'
_space_group_IT_number 1
loop_
_space_group_symop_operation_xyz
'x,y,z'
loop_
_atom_site_label
_atom_site_type_symbol
_atom_site_fract_x
_atom_site_fract_y
_atom_site_fract_z
H1 H 0.064 0.088 0.973
H2 H 0.940 0.392 0.613
Mg1 Mg 0.068 0.880 0.563
Mg2 Mg 0.824 0.375 0.270
V1 V 0.530 0.855 0.031
V2 V 0.376 0.393 0.818
```

Computed properties:
The value obtained for the polymorph energy (0 for the lowest one) is 72 meV/atom. As for the calculated volume: 11.9 Å³ per atom. The calculation puts the density of states at the Fermi level at 2.6 states/eV per cell.

Density functional theory data (GGA-PBE) for a geometry-optimized MgVH structure.

Geometry as CIF:
```
data_MgVH
_cell_length_a 2.869
_cell_length_b 2.869
_cell_length_c 9.294
_cell_angle_alpha 90.00
_cell_angle_beta 90.00
_cell_angle_gamma 105.27
_space_group_name_H-M_alt 'P 1'
_space_group_IT_number 1
loop_
_space_group_symop_operation_xyz
'x,y,z'
loop_
_atom_site_label
_atom_site_type_symbol
_atom_site_fract_x
_atom_site_fract_y
_atom_site_fract_z
H1 H 0.250 0.250 0.000
H2 H 0.750 0.750 0.000
Mg1 Mg 0.750 0.250 0.357
Mg2 Mg 0.250 0.750 0.643
V1 V 0.750 0.250 0.881
V2 V 0.250 0.750 0.119
```

Computed properties:
The value obtained for the polymorph energy (0 for the lowest one) is 107 meV/atom. As for the calculated volume: 12.3 Å³ per atom. The calculation puts the density of states at the Fermi level at 3.5 states/eV per cell.

Density functional theory data (GGA-PBE) for a geometry-optimized MgVH structure.

Geometry as CIF:
```
data_MgVH
_cell_length_a 5.619
_cell_length_b 4.599
_cell_length_c 2.817
_cell_angle_alpha 90.00
_cell_angle_beta 81.00
_cell_angle_gamma 90.00
_space_group_name_H-M_alt 'P 1'
_space_group_IT_number 1
loop_
_space_group_symop_operation_xyz
'x,y,z'
loop_
_atom_site_label
_atom_site_type_symbol
_atom_site_fract_x
_atom_site_fract_y
_atom_site_fract_z
H1 H 0.963 0.758 0.348
H2 H 0.963 0.242 0.348
Mg1 Mg 0.433 0.000 0.313
Mg2 Mg 0.679 0.500 0.606
V1 V 0.174 0.500 0.054
V2 V 0.975 0.000 0.854
```

Computed properties:
The value obtained for the polymorph energy (0 for the lowest one) is 68 meV/atom. As for the calculated volume: 12.0 Å³ per atom. The calculation puts the density of states at the Fermi level at 2.5 states/eV per cell.

Density functional theory data (GGA-PBE) for a geometry-optimized Mg2VH2 structure.

Geometry as CIF:
```
data_Mg2VH2
_cell_length_a 5.788
_cell_length_b 5.788
_cell_length_c 3.939
_cell_angle_alpha 90.00
_cell_angle_beta 90.00
_cell_angle_gamma 90.00
_space_group_name_H-M_alt 'P 1'
_space_group_IT_number 1
loop_
_space_group_symop_operation_xyz
'x,y,z'
loop_
_atom_site_label
_atom_site_type_symbol
_atom_site_fract_x
_atom_site_fract_y
_atom_site_fract_z
H1 H 0.247 0.747 0.000
H2 H 0.747 0.753 0.000
H3 H 0.753 0.253 0.000
H4 H 0.253 0.247 0.000
Mg1 Mg 0.185 0.685 0.500
Mg2 Mg 0.685 0.815 0.500
Mg3 Mg 0.815 0.315 0.500
Mg4 Mg 0.315 0.185 0.500
V1 V 0.000 0.000 0.000
V2 V 0.500 0.500 0.000
```

Computed properties:
The value obtained for the final energy is -3.576 eV per atom. As for the calculated volume: 13.2 Å³ per atom. The calculation puts the density of states at the Fermi level at 4.8 states/eV per cell.

Density functional theory data (GGA-PBE) for a geometry-optimized MgVH structure.

Geometry as CIF:
```
data_MgVH
_cell_length_a 3.289
_cell_length_b 3.406
_cell_length_c 8.105
_cell_angle_alpha 65.15
_cell_angle_beta 111.90
_cell_angle_gamma 90.00
_space_group_name_H-M_alt 'P 1'
_space_group_IT_number 1
loop_
_space_group_symop_operation_xyz
'x,y,z'
loop_
_atom_site_label
_atom_site_type_symbol
_atom_site_fract_x
_atom_site_fract_y
_atom_site_fract_z
H1 H 0.028 0.966 0.991
H2 H 0.267 0.623 0.833
Mg1 Mg 0.405 0.949 0.508
Mg2 Mg 0.647 0.733 0.224
V1 V 0.869 0.514 0.943
V2 V 0.137 0.187 0.769
```

Computed properties:
The value obtained for the polymorph energy (0 for the lowest one) is 31 meV/atom. As for the calculated volume: 12.5 Å³ per atom. The calculation puts the density of states at the Fermi level at 2.4 states/eV per cell.

Density functional theory data (GGA-PBE) for a geometry-optimized MgVH structure.

Geometry as CIF:
```
data_MgVH
_cell_length_a 9.413
_cell_length_b 2.965
_cell_length_c 5.710
_cell_angle_alpha 90.00
_cell_angle_beta 90.00
_cell_angle_gamma 90.00
_space_group_name_H-M_alt 'P 1'
_space_group_IT_number 1
loop_
_space_group_symop_operation_xyz
'x,y,z'
loop_
_atom_site_label
_atom_site_type_symbol
_atom_site_fract_x
_atom_site_fract_y
_atom_site_fract_z
H1 H 0.888 0.250 0.400
H2 H 0.612 0.750 0.900
H3 H 0.112 0.750 0.600
H4 H 0.388 0.250 0.100
Mg1 Mg 0.134 0.250 0.904
Mg2 Mg 0.366 0.750 0.404
Mg3 Mg 0.866 0.750 0.096
Mg4 Mg 0.634 0.250 0.596
V1 V 0.080 0.250 0.408
V2 V 0.420 0.750 0.908
V3 V 0.920 0.750 0.592
V4 V 0.580 0.250 0.092
```

Computed properties:
The value obtained for the polymorph energy (0 for the lowest one) is 243 meV/atom. As for the calculated volume: 13.3 Å³ per atom. The calculation puts the density of states at the Fermi level at 6.8 states/eV per cell.